No. 1
Material: LiBi2SbO6
Method: DFT, PBE-GGA
State: optimized geometry

a b c (Å): 5.736 5.736 5.874
angles (deg): 60.77 60.77 60.00
Fractional coordinates of all 10 atoms:
Li: 0.798 0.798 0.605
Bi: 0.530 0.530 0.409
Bi: 0.028 0.028 0.917
Sb: 0.319 0.319 0.042
O: 0.585 0.164 0.249
O: 0.164 0.002 0.249
O: 0.002 0.585 0.249
O: 0.468 0.650 0.765
O: 0.650 0.116 0.765
O: 0.116 0.469 0.765

Values from the calculation:
Space-group type: R3 (146)
N(E_F), states/eV/atom: 0.000
Calculated volume, A^3/atom: 13.8
Formation energy from raw total energies, eV per atom: -1.45


No. 2
Material: Li2ScBiO4
Method: DFT, PBE-GGA
State: optimized geometry

a b c (Å): 6.671 6.671 6.329
angles (deg): 118.31 118.31 95.10
Fractional coordinates of all 16 atoms:
Li: 0.500 0.000 0.000
Li: 0.500 0.000 0.500
Li: 0.000 0.000 0.500
Li: 0.500 0.500 0.000
Sc: 0.000 0.500 0.000
Sc: 0.000 0.500 0.500
Bi: 0.500 0.500 0.500
Bi: 0.000 0.000 0.000
O: 0.226 0.742 0.984
O: 0.758 0.274 0.516
O: 0.242 0.726 0.484
O: 0.774 0.258 0.016
O: 0.781 0.719 0.021
O: 0.781 0.719 0.479
O: 0.219 0.281 0.521
O: 0.219 0.281 0.979

Values from the calculation:
Space-group type: Imma (74)
N(E_F), states/eV/atom: 0.000
Calculated volume, A^3/atom: 12.5
Formation energy from raw total energies, eV per atom: -2.09


No. 3
Material: LiSc2BiO6
Method: DFT, PBE-GGA
State: optimized geometry

a b c (Å): 5.437 5.437 5.822
angles (deg): 62.17 62.17 60.00
Fractional coordinates of all 10 atoms:
Li: 0.798 0.798 0.605
Sc: 0.520 0.520 0.441
Sc: 0.021 0.021 0.938
Bi: 0.315 0.315 0.055
O: 0.615 0.230 0.242
O: 0.230 0.913 0.242
O: 0.913 0.615 0.242
O: 0.395 0.721 0.750
O: 0.721 0.134 0.750
O: 0.134 0.395 0.750

Values from the calculation:
Space-group type: R3 (146)
N(E_F), states/eV/atom: 0.000
Calculated volume, A^3/atom: 12.6
Formation energy from raw total energies, eV per atom: -2.33


No. 4
Material: Li2ScBiO
Method: DFT, PBE-GGA
State: optimized geometry

a b c (Å): 4.310 4.310 4.275
angles (deg): 90.00 90.00 90.00
Fractional coordinates of all 5 atoms:
Sc: 0.000 0.000 0.500
Bi: 0.500 0.500 0.500
O: 0.000 0.000 0.000
Li: 0.000 0.500 0.000
Li: 0.500 0.000 0.000

Values from the calculation:
Space-group type: P4/mmm (123)
N(E_F), states/eV/atom: 0.139
Calculated volume, A^3/atom: 15.9
Formation energy from raw total energies, eV per atom: -1.49


No. 5
Material: LiScBiO4
Method: DFT, PBE-GGA
State: optimized geometry

a b c (Å): 6.368 6.535 6.535
angles (deg): 62.70 60.84 60.84
Fractional coordinates of all 14 atoms:
Li: 0.621 0.629 0.129
Li: 0.379 0.371 0.871
Sc: 0.500 0.000 0.500
Sc: 0.000 0.000 0.500
Bi: 0.000 0.000 0.000
Bi: 0.000 0.500 0.500
O: 0.756 0.782 0.705
O: 0.244 0.795 0.718
O: 0.756 0.205 0.282
O: 0.244 0.218 0.295
O: 0.225 0.764 0.264
O: 0.747 0.764 0.264
O: 0.253 0.236 0.736
O: 0.775 0.236 0.736

Values from the calculation:
Space-group type: Imma (74)
N(E_F), states/eV/atom: 0.309
Calculated volume, A^3/atom: 14.2
Formation energy from raw total energies, eV per atom: -2.05


No. 6
Material: LiBi2SeO
Method: DFT, PBE-GGA
State: optimized geometry

a b c (Å): 5.258 3.758 5.258
angles (deg): 90.00 90.00 90.00
Fractional coordinates of all 5 atoms:
O: 0.000 0.000 0.000
Bi: 0.000 0.000 0.500
Bi: 0.500 0.000 0.000
Se: 0.500 0.500 0.500
Li: 0.000 0.500 0.000

Values from the calculation:
Space-group type: P4/mmm (123)
N(E_F), states/eV/atom: 0.485
Calculated volume, A^3/atom: 20.8
Formation energy from raw total energies, eV per atom: -0.53


No. 7
Material: LiBiSeO
Method: DFT, PBE-GGA
State: optimized geometry

a b c (Å): 4.002 4.002 9.080
angles (deg): 90.00 90.00 90.00
Fractional coordinates of all 8 atoms:
Li: 0.500 0.500 0.000
Li: 0.000 0.000 0.000
Bi: 0.500 0.000 0.637
Bi: 0.000 0.500 0.363
Se: 0.000 0.500 0.825
Se: 0.500 0.000 0.175
O: 0.000 0.000 0.500
O: 0.500 0.500 0.500

Values from the calculation:
Space-group type: P4/nmm (129)
Calculated volume, A^3/atom: 18.2
Formation energy from raw total energies, eV per atom: -1.08


No. 8
Material: LiSiBiO4
Method: DFT, PBE-GGA
State: optimized geometry

a b c (Å): 5.403 8.766 8.983
angles (deg): 73.76 90.00 90.00
Fractional coordinates of all 28 atoms:
Li: 0.333 0.131 0.227
Li: 0.826 0.645 0.366
Li: 0.667 0.131 0.727
Li: 0.174 0.645 0.866
Si: 0.684 0.752 0.985
Si: 0.794 0.257 0.357
Si: 0.316 0.752 0.485
Si: 0.206 0.257 0.857
Bi: 0.846 0.034 0.077
Bi: 0.330 0.502 0.243
Bi: 0.154 0.034 0.577
Bi: 0.670 0.502 0.743
O: 0.240 0.117 0.025
O: 0.392 0.701 0.016
O: 0.655 0.216 0.213
O: 0.104 0.258 0.340
O: 0.815 0.755 0.150
O: 0.687 0.432 0.369
O: 0.760 0.117 0.525
O: 0.182 0.623 0.406
O: 0.265 0.937 0.378
O: 0.608 0.701 0.516
O: 0.345 0.216 0.713
O: 0.896 0.258 0.840
O: 0.185 0.755 0.650
O: 0.313 0.432 0.869
O: 0.818 0.623 0.906
O: 0.735 0.937 0.878

Values from the calculation:
Excess energy over the best structure of this formula in the dataset, eV per atom: 0.074
Space-group type: Pc (7)
N(E_F), states/eV/atom: 0.000
Calculated volume, A^3/atom: 14.6
Formation energy from raw total energies, eV per atom: -2.05


No. 9
Material: LiSiBiO4
Method: DFT, PBE-GGA
State: optimized geometry

a b c (Å): 5.441 10.450 14.577
angles (deg): 90.00 90.00 90.00
Fractional coordinates of all 56 atoms:
Li: 0.023 0.988 0.496
Li: 0.459 0.783 0.251
Li: 0.459 0.717 0.751
Li: 0.023 0.512 0.996
Li: 0.977 0.488 0.496
Li: 0.541 0.283 0.251
Li: 0.541 0.217 0.751
Li: 0.977 0.012 0.996
Si: 0.514 0.976 0.620
Si: 0.935 0.760 0.878
Si: 0.935 0.740 0.378
Si: 0.514 0.524 0.120
Si: 0.486 0.476 0.620
Si: 0.065 0.260 0.878
Si: 0.065 0.240 0.378
Si: 0.486 0.024 0.120
Bi: 0.971 0.999 0.241
Bi: 0.408 0.793 0.999
Bi: 0.408 0.707 0.499
Bi: 0.971 0.501 0.741
Bi: 0.029 0.499 0.241
Bi: 0.592 0.293 0.999
Bi: 0.592 0.207 0.499
Bi: 0.029 0.001 0.741
O: 0.211 0.961 0.100
O: 0.347 0.029 0.535
O: 0.582 0.960 0.219
O: 0.063 0.906 0.882
O: 0.500 0.820 0.631
O: 0.022 0.809 0.473
O: 0.066 0.690 0.786
O: 0.637 0.761 0.864
O: 0.637 0.739 0.364
O: 0.066 0.810 0.286
O: 0.022 0.691 0.973
O: 0.500 0.680 0.131
O: 0.063 0.594 0.382
O: 0.582 0.540 0.719
O: 0.347 0.471 0.035
O: 0.211 0.539 0.600
O: 0.789 0.461 0.100
O: 0.653 0.529 0.535
O: 0.418 0.460 0.219
O: 0.937 0.406 0.882
O: 0.500 0.320 0.631
O: 0.978 0.309 0.473
O: 0.934 0.190 0.786
O: 0.363 0.261 0.864
O: 0.363 0.239 0.364
O: 0.934 0.310 0.286
O: 0.978 0.191 0.973
O: 0.500 0.180 0.131
O: 0.937 0.094 0.382
O: 0.418 0.040 0.719
O: 0.653 0.971 0.035
O: 0.789 0.039 0.600

Values from the calculation:
Excess energy over the best structure of this formula in the dataset, eV per atom: 0.049
Space-group type: Pca2_1 (29)
N(E_F), states/eV/atom: 0.000
Calculated volume, A^3/atom: 14.8
Formation energy from raw total energies, eV per atom: -2.08


No. 10
Material: LiSi6BiO14
Method: DFT, PBE-GGA
State: optimized geometry

a b c (Å): 7.674 13.181 13.181
angles (deg): 72.67 73.08 73.08
Fractional coordinates of all 88 atoms:
Li: 0.750 0.250 0.250
Li: 0.250 0.750 0.750
Li: 0.000 0.500 0.500
Li: 0.500 0.000 0.000
Si: 0.669 0.367 0.633
Si: 0.169 0.133 0.867
Si: 0.245 0.833 0.167
Si: 0.406 0.926 0.778
Si: 0.610 0.574 0.722
Si: 0.906 0.278 0.426
Si: 0.110 0.222 0.074
Si: 0.255 0.333 0.667
Si: 0.710 0.769 0.526
Si: 0.210 0.026 0.269
Si: 0.005 0.474 0.231
Si: 0.505 0.731 0.974
Si: 0.995 0.526 0.769
Si: 0.290 0.231 0.474
Si: 0.790 0.974 0.731
Si: 0.495 0.269 0.026
Si: 0.745 0.667 0.333
Si: 0.390 0.426 0.278
Si: 0.890 0.778 0.926
Si: 0.594 0.074 0.222
Si: 0.094 0.722 0.574
Si: 0.755 0.167 0.833
Si: 0.831 0.867 0.133
Si: 0.331 0.633 0.367
Bi: 0.250 0.964 0.536
Bi: 0.750 0.464 0.036
Bi: 0.250 0.536 0.964
Bi: 0.750 0.036 0.464
O: 0.678 0.486 0.642
O: 0.806 0.358 0.514
O: 0.749 0.271 0.729
O: 0.601 0.416 0.209
O: 0.226 0.791 0.584
O: 0.958 0.137 0.863
O: 0.274 0.916 0.709
O: 0.899 0.291 0.084
O: 0.088 0.439 0.689
O: 0.215 0.311 0.561
O: 0.425 0.116 0.514
O: 0.055 0.486 0.884
O: 0.306 0.014 0.858
O: 0.178 0.142 0.986
O: 0.249 0.229 0.771
O: 0.075 0.986 0.384
O: 0.445 0.616 0.014
O: 0.458 0.806 0.859
O: 0.622 0.694 0.641
O: 0.958 0.359 0.306
O: 0.122 0.141 0.194
O: 0.412 0.811 0.061
O: 0.285 0.939 0.189
O: 0.767 0.538 0.796
O: 0.101 0.204 0.462
O: 0.601 0.962 0.704
O: 0.267 0.296 0.038
O: 0.458 0.363 0.637
O: 0.542 0.637 0.363
O: 0.733 0.704 0.962
O: 0.233 0.462 0.204
O: 0.899 0.796 0.538
O: 0.399 0.038 0.296
O: 0.588 0.189 0.939
O: 0.715 0.061 0.811
O: 0.378 0.306 0.359
O: 0.878 0.859 0.806
O: 0.042 0.641 0.694
O: 0.542 0.194 0.141
O: 0.925 0.014 0.616
O: 0.555 0.384 0.986
O: 0.751 0.771 0.229
O: 0.822 0.858 0.014
O: 0.694 0.986 0.142
O: 0.575 0.884 0.486
O: 0.945 0.514 0.116
O: 0.912 0.561 0.311
O: 0.785 0.689 0.439
O: 0.101 0.709 0.916
O: 0.726 0.084 0.291
O: 0.042 0.863 0.137
O: 0.399 0.584 0.791
O: 0.774 0.209 0.416
O: 0.251 0.729 0.271
O: 0.322 0.514 0.358
O: 0.194 0.642 0.486

Values from the calculation:
Space-group type: Ibam (72)
N(E_F), states/eV/atom: 0.000
Calculated volume, A^3/atom: 13.5
Formation energy from raw total energies, eV per atom: -2.57


No. 11
Material: Li3Si2BiO7
Method: DFT, PBE-GGA
State: optimized geometry

a b c (Å): 5.065 9.650 13.188
angles (deg): 90.00 90.00 90.00
Fractional coordinates of all 52 atoms:
Li: 0.051 0.313 0.090
Li: 0.051 0.313 0.410
Li: 0.031 0.020 0.250
Li: 0.469 0.520 0.250
Li: 0.449 0.813 0.090
Li: 0.449 0.813 0.410
Li: 0.551 0.187 0.590
Li: 0.551 0.187 0.910
Li: 0.531 0.480 0.750
Li: 0.969 0.980 0.750
Li: 0.949 0.687 0.910
Li: 0.949 0.687 0.590
Si: 0.023 0.310 0.640
Si: 0.023 0.310 0.860
Si: 0.477 0.810 0.640
Si: 0.477 0.810 0.860
Si: 0.523 0.190 0.140
Si: 0.523 0.190 0.360
Si: 0.977 0.690 0.140
Si: 0.977 0.690 0.360
Bi: 0.000 0.000 0.000
Bi: 0.000 0.000 0.500
Bi: 0.500 0.500 0.500
Bi: 0.500 0.500 0.000
O: 0.066 0.855 0.141
O: 0.066 0.855 0.359
O: 0.089 0.620 0.250
O: 0.119 0.624 0.040
O: 0.119 0.624 0.460
O: 0.159 0.843 0.634
O: 0.159 0.843 0.866
O: 0.341 0.343 0.634
O: 0.341 0.343 0.866
O: 0.381 0.124 0.040
O: 0.381 0.124 0.460
O: 0.411 0.120 0.250
O: 0.434 0.355 0.141
O: 0.434 0.355 0.359
O: 0.566 0.645 0.641
O: 0.566 0.645 0.859
O: 0.589 0.880 0.750
O: 0.619 0.876 0.540
O: 0.619 0.876 0.960
O: 0.659 0.657 0.134
O: 0.659 0.657 0.366
O: 0.841 0.157 0.366
O: 0.841 0.157 0.134
O: 0.881 0.376 0.540
O: 0.881 0.376 0.960
O: 0.911 0.380 0.750
O: 0.934 0.145 0.641
O: 0.934 0.145 0.859

Values from the calculation:
Space-group type: Pnma (62)
N(E_F), states/eV/atom: 0.000
Calculated volume, A^3/atom: 12.4
Formation energy from raw total energies, eV per atom: -2.24


No. 12
Material: LiSiBiO4
Method: DFT, PBE-GGA
State: optimized geometry

a b c (Å): 4.941 6.829 10.786
angles (deg): 90.00 90.00 90.00
Fractional coordinates of all 28 atoms:
Li: 0.000 0.000 0.000
Li: 0.000 0.500 0.000
Li: 0.500 0.500 0.500
Li: 0.500 0.000 0.500
Si: 0.893 0.750 0.419
Si: 0.607 0.750 0.919
Si: 0.393 0.250 0.081
Si: 0.107 0.250 0.581
Bi: 0.948 0.250 0.279
Bi: 0.552 0.250 0.779
Bi: 0.448 0.750 0.221
Bi: 0.052 0.750 0.721
O: 0.753 0.750 0.558
O: 0.752 0.937 0.342
O: 0.752 0.563 0.342
O: 0.721 0.250 0.078
O: 0.779 0.250 0.578
O: 0.748 0.563 0.842
O: 0.748 0.937 0.842
O: 0.747 0.750 0.058
O: 0.253 0.250 0.942
O: 0.252 0.437 0.158
O: 0.252 0.063 0.158
O: 0.221 0.750 0.422
O: 0.279 0.750 0.922
O: 0.248 0.063 0.658
O: 0.248 0.437 0.658
O: 0.247 0.250 0.442

Values from the calculation:
Excess energy over the best structure of this formula in the dataset, eV per atom: 0.000
Space-group type: Pnma (62)
N(E_F), states/eV/atom: 0.000
Calculated volume, A^3/atom: 13.0
Formation energy from raw total energies, eV per atom: -2.13